First-principles (PBE) data for a relaxed structure of ZnRu3Br, as listed in Alexandria via LeMat-Bulk.

a b c (Å): 4.5258 4.5258 4.5258
angles (deg): 90.00 90.00 90.00
Last column: nearest neighbours and their distance in Å.
Space group Pm-3m (No. 221)
Inequivalent atoms, fractional coordinates:
Zn (0.0000, 0.0000, 0.0000) x1  12 Ru 3.20
Ru (0.0000, 0.5000, 0.5000) x3  2 Br 2.26
Br (0.5000, 0.5000, 0.5000) x1  6 Ru 2.26

Computed properties:
Formation energy without anion corrections = 7.3 eV per formula unit
Magnetization = 0.000 μB per formula unit
Calculated volume = 92.7 Å³ per cell
Crystal system = cubic
N(E_F) = 5.91 states/eV per cell

First-principles (PBE) data for a relaxed structure of H3RuF, as listed in Alexandria via LeMat-Bulk.

a b c (Å): 3.2573 3.2573 3.2573
angles (deg): 90.00 90.00 90.00
Last column: nearest neighbours and their distance in Å.
Space group Pm-3m (No. 221)
Inequivalent atoms, fractional coordinates:
H (0.0000, 0.0000, 0.5000) x3  2 F 1.63
Ru (0.5000, 0.5000, 0.5000) x1  12 H 2.30
F (0.0000, 0.0000, 0.0000) x1  6 H 1.63

Computed properties:
Magnetization = 0.000 μB per formula unit
Calculated volume = 34.6 Å³ per cell
Crystal system = cubic
N(E_F) = 5.22 states/eV per cell
Calculated total energy = -3.284 eV/atom

First-principles (PBE) data for a relaxed structure of B2C3, as listed in Alexandria via LeMat-Bulk.

a b c (Å): 2.5260 2.5260 34.8571
angles (deg): 90.00 90.00 120.00
Last column: nearest neighbours and their distance in Å.
Space group R-3m (No. 166, hexagonal axes)
Inequivalent atoms, fractional coordinates:
B (0.0000, 0.0000, 0.0240) x6  4 B 1.67-1.80
B (0.0000, 0.0000, 0.3877) x6  1 C 1.58
C (0.0000, 0.0000, 0.1742) x6  4 C 1.54-1.55
C (0.0000, 0.0000, 0.2184) x6  4 C 1.54-1.55
C (0.0000, 0.0000, 0.4331) x6  3 C 1.55, 1 B 1.58

Computed properties:
Magnetization = 0.000 μB per formula unit
Calculated volume = 192.6 Å³ per cell
Crystal system = trigonal
N(E_F) = 6.52 states/eV per cell
Formation enthalpy at 0 K = 1.7 eV/f.u.

First-principles (PBE) data for a relaxed structure of Re2H2Rh, as listed in Alexandria via LeMat-Bulk.

a b c (Å): 6.0554 6.0554 2.7853
angles (deg): 90.00 90.00 90.00
Last column: nearest neighbours and their distance in Å.
Space group P4/mbm (No. 127)
Inequivalent atoms, fractional coordinates:
Re (0.1380, 0.3620, 0.0000) x4  4 H 2.13, 1 Re 2.36
H (0.1281, 0.6281, 0.5000) x4  4 Re 2.13, 1 H 2.19, 2 Rh 2.38
Rh (0.0000, 0.0000, 0.5000) x2  4 H 2.38

Computed properties:
Magnetization = 0.000 μB per formula unit
Calculated volume = 102.1 Å³ per cell
Crystal system = tetragonal
N(E_F) = 8.74 states/eV per cell
Calculated total energy = -7.380 eV/atom

First-principles (PBE) data for a relaxed structure of Al2Cu2Au5, as listed in Alexandria via LeMat-Bulk.

a b c (Å): 5.7304 7.4887 7.6596
angles (deg): 115.40 91.18 99.99
Last column: nearest neighbours and their distance in Å.
Space group P1 (No. 1)
Inequivalent atoms, fractional coordinates:
Al (0.0000, 0.0000, 0.0000) x1  6 Au 2.59-2.79, 3 Cu 2.76-2.88
Al (0.1247, 0.4030, 0.3436) x1  6 Au 2.63-2.82, 1 Cu 2.86
Al (0.5006, 0.0864, 0.6651) x1  1 Cu 2.62, 7 Au 2.65-2.83
Al (0.8696, 0.4375, 0.6939) x1  2 Cu 2.67-2.90, 7 Au 2.70-2.99
Cu (0.0436, 0.0872, 0.6688) x1  3 Al 2.62-2.90, 7 Au 2.67-2.93, 1 Cu 2.71
Cu (0.1813, 0.6794, 0.0051) x1  2 Al 2.67-2.79, 7 Au 2.70-2.97, 2 Cu 2.80-2.85
Cu (0.5214, 0.0058, 0.0223) x1  7 Au 2.67-2.85, 2 Al 2.76-2.98, 1 Cu 2.80
Cu (0.9431, 0.7340, 0.3417) x1  8 Au 2.70-3.02, 2 Cu 2.71-2.85, 1 Al 2.86
Au (0.1914, 0.7670, 0.6887) x1  4 Al 2.67-2.83, 4 Cu 2.74-2.88, 4 Au 2.87-2.94
Au (0.2476, 0.0544, 0.3112) x1  2 Al 2.59-2.73, 3 Cu 2.67-2.81, 2 Au 2.85-2.88
Au (0.3308, 0.3101, 0.0090) x1  3 Al 2.71-2.75, 2 Cu 2.72-2.73, 5 Au 2.86-3.00
Au (0.3425, 0.4156, 0.6734) x1  2 Cu 2.73-2.76, 4 Al 2.75-2.99, 4 Au 2.87-2.99
Au (0.4117, 0.7109, 0.3306) x1  2 Al 2.63-2.83, 2 Cu 2.70-2.72, 6 Au 2.90-2.94
Au (0.6655, 0.4141, 0.3603) x1  2 Al 2.65-2.71, 1 Cu 2.70, 4 Au 2.81-2.94
Au (0.6935, 0.6865, 0.0113) x1  2 Al 2.70-2.71, 4 Cu 2.71-2.93, 5 Au 2.90-2.97
Au (0.7012, 0.8024, 0.6859) x1  2 Al 2.61-2.65, 3 Cu 2.69-2.89, 4 Au 2.87-2.91
Au (0.7616, 0.0659, 0.3761) x1  2 Al 2.66-2.75, 3 Cu 2.67-2.83, 5 Au 2.81-2.97
Au (0.8367, 0.3235, 0.9850) x1  4 Al 2.71-2.95, 3 Cu 2.75-2.97, 4 Au 2.86-2.90

Computed properties:
Magnetization = 0.000 μB per formula unit
Calculated volume = 290.7 Å³ per cell
Crystal system = triclinic
N(E_F) = 5.49 states/eV per cell
Formation enthalpy at 0 K = -1.8 eV/f.u.

First-principles (PBE) data for a relaxed structure of BaSrLi2Mo, as listed in Alexandria via LeMat-Bulk.

a b c (Å): 4.9459 4.9459 5.9730
angles (deg): 90.00 90.00 90.00
Last column: nearest neighbours and their distance in Å.
Space group P4/mmm (No. 123)
Inequivalent atoms, fractional coordinates:
Ba (0.0000, 0.0000, 0.0000) x1  4 Li 2.47
Sr (0.0000, 0.0000, 0.5000) x1  2 Ba 2.99
Li (0.0000, 0.5000, 0.0000) x2  2 Ba 2.47
Mo (0.5000, 0.5000, 0.5000) x1  4 Sr 3.50, 8 Li 3.88

Computed properties:
Magnetization = 0.000 μB per formula unit
Calculated volume = 146.1 Å³ per cell
Crystal system = tetragonal
N(E_F) = 7.09 states/eV per cell
Formation enthalpy at 0 K = 9.2 eV/f.u.

First-principles (PBE) data for a relaxed structure of Tl2ReIr, as listed in Alexandria via LeMat-Bulk.

a b c (Å): 8.1689 2.8856 7.9071
angles (deg): 90.00 96.54 90.00
Last column: nearest neighbours and their distance in Å.
Space group Cm (No. 8)
Inequivalent atoms, fractional coordinates:
Tl (0.0000, 0.0000, 0.0000) x2  2 Tl 2.89, 3 Ir 3.08-3.14
Tl (0.2246, 0.0000, 0.6552) x2  2 Tl 2.89, 3 Re 3.07-3.18
Re (0.4872, 0.0000, 0.3869) x2  3 Ir 2.39-2.56
Ir (0.2422, 0.5000, 0.2659) x2  3 Re 2.39-2.56

Computed properties:
Magnetization = 0.000 μB per formula unit
Calculated volume = 185.2 Å³ per cell
Crystal system = monoclinic
N(E_F) = 5.94 states/eV per cell
Formation enthalpy at 0 K = 2.3 eV/f.u.

First-principles (PBE) data for a relaxed structure of Ba8In2Ag, as listed in Alexandria via LeMat-Bulk.

a b c (Å): 21.4971 6.0114 8.3211
angles (deg): 90.00 107.14 90.00
Last column: nearest neighbours and their distance in Å.
Space group C2/m (No. 12)
Inequivalent atoms, fractional coordinates:
Ba (0.0303, 0.0000, 0.2920) x4  1 In 3.59, 2 Ag 3.62
Ba (0.0981, 0.5000, 0.9351) x4  1 Ag 3.61, 2 In 3.90
Ba (0.1615, 0.5000, 0.4591) x4  1 Ag 3.59, 3 In 3.63-3.78
Ba (0.2069, 0.0000, 0.8015) x4  3 In 3.55-3.82
In (0.1848, 0.0000, 0.2080) x4  9 Ba 3.55-3.90
Ag (0.0000, 0.5000, 0.5000) x2  8 Ba 3.59-3.62

Computed properties:
Magnetization = 0.000 μB per formula unit
Calculated volume = 1027.6 Å³ per cell
Crystal system = monoclinic
N(E_F) = 21.57 states/eV per cell
Formation enthalpy at 0 K = -2.3 eV/f.u.

First-principles (PBE) data for a relaxed structure of KEuPb, as listed in Alexandria via LeMat-Bulk.

a b c (Å): 5.7719 5.7719 3.5868
angles (deg): 90.00 90.00 120.00
Last column: nearest neighbours and their distance in Å.
Space group P3m1 (No. 156)
Inequivalent atoms, fractional coordinates:
K (0.0000, 0.0000, 0.0000) x1  3 Eu 3.41, 2 K 3.59, 3 Pb 3.62
Eu (0.3333, 0.6667, 0.8013) x1  3 K 3.41, 2 Eu 3.59, 3 Pb 3.64
Pb (0.6667, 0.3333, 0.3945) x1  2 Pb 3.59, 6 K 3.62-3.98, 6 Eu 3.64-3.95

Computed properties:
Magnetization = 7.141 μB per formula unit
Calculated volume = 103.5 Å³ per cell
Crystal system = trigonal
N(E_F) = 11.16 states/eV per cell
Formation enthalpy at 0 K = -0.4 eV/f.u.

First-principles (PBE) data for a relaxed structure of Rb2V2H, as listed in Alexandria via LeMat-Bulk.

a b c (Å): 10.3900 10.3900 3.3685
angles (deg): 90.00 90.00 90.00
Last column: nearest neighbours and their distance in Å.
Space group P4/mbm (No. 127)
Inequivalent atoms, fractional coordinates:
Rb (0.2195, 0.2805, 0.0000) x4  2 Rb 3.37, 6 V 3.63-3.75
V (0.0615, 0.5615, 0.5000) x4  1 V 1.81
H (0.0000, 0.0000, 0.5000) x2  2 H 3.37

Computed properties:
Magnetization = 0.290 μB per formula unit
Calculated volume = 363.6 Å³ per cell
Crystal system = tetragonal
N(E_F) = 9.68 states/eV per cell
Calculated total energy = -3.390 eV/atom

First-principles (PBE) data for a relaxed structure of TbNd6Y4, as listed in Alexandria via LeMat-Bulk.

a b c (Å): 6.8365 6.8365 16.5666
angles (deg): 90.00 90.00 90.00
Last column: nearest neighbours and their distance in Å.
Space group I-42m (No. 121)
Inequivalent atoms, fractional coordinates:
Tb (0.0000, 0.0000, 0.0000) x2  8 Nd 3.42-3.46, 4 Y 3.68
Nd (0.0000, 0.5000, 0.0000) x4  4 Y 3.17, 2 Tb 3.42
Nd (0.1906, 0.1906, 0.1766) x8  5 Y 3.44-3.78, 1 Tb 3.46, 3 Nd 3.69-3.84
Y (0.1753, 0.1753, 0.3838) x8  3 Nd 3.17-3.44, 1 Y 3.39

Computed properties:
Magnetization = 0.000 μB per formula unit
Calculated volume = 774.3 Å³ per cell
Crystal system = tetragonal
N(E_F) = 32.51 states/eV per cell
Formation enthalpy at 0 K = 3.4 eV/f.u.

First-principles (PBE) data for a relaxed structure of LaP2Pd, as listed in Alexandria via LeMat-Bulk.

a b c (Å): 4.1090 5.5191 7.6220
angles (deg): 90.00 90.00 90.00
Last column: nearest neighbours and their distance in Å.
Space group Amm2 (No. 38)
Inequivalent atoms, fractional coordinates:
La (0.0000, 0.0000, 0.0000) x2  8 P 3.10-3.20
P (0.5000, 0.2023, 0.2860) x4  1 P 2.23, 2 Pd 2.34-2.41
Pd (0.5000, 0.0000, 0.5667) x2  4 P 2.34-2.41

Computed properties:
Magnetization = 0.000 μB per formula unit
Calculated volume = 172.9 Å³ per cell
Crystal system = orthorhombic
N(E_F) = 5.14 states/eV per cell
Formation enthalpy at 0 K = -3.6 eV/f.u.